# Pm2Ni2Hg

Pm2Ni2Hg after structural relaxation (GGA-PBE, Alexandria via LeMat-Bulk).

Properties
As for the volume: 106.1 Å³/f.u. The energy comes out at -46.9 eV/cell. As for the symmetry: P4/mbm, No. 127. The energy above the most stable polymorph in this dataset comes out at 0.136 eV per formula unit. The value obtained for the density of states at the Fermi level is 0.68 states/eV/atom.

Unit cell a=3.838 b=7.434 c=7.434 alpha=90.00 beta=90.00 gamma=90.00
Fractional positions:
1 Ni 0.000 0.385 0.885
2 Ni 0.000 0.115 0.385
3 Ni 0.000 0.615 0.115
4 Ni 0.000 0.885 0.615
5 Pm 0.500 0.179 0.679
6 Pm 0.500 0.321 0.179
7 Pm 0.500 0.821 0.321
8 Pm 0.500 0.679 0.821
9 Hg 0.000 0.000 0.000
10 Hg 0.000 0.500 0.500

---

# PmNiHgRh

PmNiHgRh after structural relaxation (GGA-PBE, Alexandria via LeMat-Bulk).

Properties
As for the volume: 75.0 Å³/f.u. The energy comes out at -19.3 eV/cell. As for the symmetry: F-43m, No. 216. The value obtained for the density of states at the Fermi level is 0.63 states/eV/atom.

Unit cell a=4.734 b=4.734 c=4.734 alpha=60.00 beta=60.00 gamma=60.00
Fractional positions:
1 Rh 0.250 0.250 0.250
2 Ni 0.750 0.750 0.750
3 Hg 0.500 0.500 0.500
4 Pm 0.000 0.000 0.000

---

# PmNiHgSb

PmNiHgSb after structural relaxation (GGA-PBE, Alexandria via LeMat-Bulk).

Properties
Its energy relative to the elements, uncorrected is -0.249 eV per atom. As for the volume: 89.7 Å³/f.u. The energy comes out at -16.0 eV/cell. As for the symmetry: F-43m, No. 216. The value obtained for the density of states at the Fermi level is 0.24 states/eV/atom.

Unit cell a=5.024 b=5.024 c=5.024 alpha=60.00 beta=60.00 gamma=60.00
Fractional positions:
1 Hg 0.750 0.750 0.750
2 Pm 0.000 0.000 0.000
3 Sb 0.500 0.500 0.500
4 Ni 0.250 0.250 0.250

---

# PmScNiHg

PmScNiHg after structural relaxation (GGA-PBE, Alexandria via LeMat-Bulk).

Properties
As for the volume: 87.9 Å³/f.u. The energy comes out at -18.3 eV/cell. As for the symmetry: F-43m, No. 216. The value obtained for the density of states at the Fermi level is 0.90 states/eV/atom.

Unit cell a=4.992 b=4.992 c=4.992 alpha=60.00 beta=60.00 gamma=60.00
Fractional positions:
1 Hg 0.750 0.750 0.750
2 Sc 0.000 0.000 0.000
3 Ni 0.250 0.250 0.250
4 Pm 0.500 0.500 0.500

---

# PmNiSnHg

PmNiSnHg after structural relaxation (GGA-PBE, Alexandria via LeMat-Bulk).

Properties
As for the volume: 87.6 Å³/f.u. The energy comes out at -15.9 eV/cell. As for the symmetry: F-43m, No. 216. The value obtained for the density of states at the Fermi level is 0.60 states/eV/atom.

Unit cell a=4.986 b=4.986 c=4.986 alpha=60.00 beta=60.00 gamma=60.00
Fractional positions:
1 Hg 0.750 0.750 0.750
2 Pm 0.000 0.000 0.000
3 Sn 0.500 0.500 0.500
4 Ni 0.250 0.250 0.250

---

# TbPmNiHg

TbPmNiHg after structural relaxation (GGA-PBE, Alexandria via LeMat-Bulk).

Properties
As for the volume: 95.3 Å³/f.u. The energy comes out at -16.7 eV/cell. As for the symmetry: F-43m, No. 216. The value obtained for the density of states at the Fermi level is 0.74 states/eV/atom.

Unit cell a=5.127 b=5.127 c=5.127 alpha=60.00 beta=60.00 gamma=60.00
Fractional positions:
1 Hg 0.250 0.250 0.250
2 Tb 0.000 0.000 0.000
3 Ni 0.750 0.750 0.750
4 Pm 0.500 0.500 0.500

---

# PmThNiHg

PmThNiHg after structural relaxation (GGA-PBE, Alexandria via LeMat-Bulk).

Properties
As for the volume: 99.5 Å³/f.u. The energy comes out at -19.0 eV/cell. As for the symmetry: F-43m, No. 216. The value obtained for the density of states at the Fermi level is 1.01 states/eV/atom.

Unit cell a=5.201 b=5.201 c=5.201 alpha=60.00 beta=60.00 gamma=60.00
Fractional positions:
1 Hg 0.750 0.750 0.750
2 Pm 0.500 0.500 0.500
3 Ni 0.250 0.250 0.250
4 Th 0.000 0.000 0.000

---

# PmTmNiHg

PmTmNiHg after structural relaxation (GGA-PBE, Alexandria via LeMat-Bulk).

Properties
As for the volume: 92.9 Å³/f.u. The energy comes out at -16.6 eV/cell. As for the symmetry: F-43m, No. 216. The value obtained for the density of states at the Fermi level is 0.78 states/eV/atom.

Unit cell a=5.083 b=5.083 c=5.083 alpha=60.00 beta=60.00 gamma=60.00
Fractional positions:
1 Tm 0.000 0.000 0.000
2 Pm 0.500 0.500 0.500
3 Hg 0.250 0.250 0.250
4 Ni 0.750 0.750 0.750

---

# PmYNiHg

PmYNiHg after structural relaxation (GGA-PBE, Alexandria via LeMat-Bulk).

Properties
As for the volume: 95.1 Å³/f.u. The energy comes out at -18.6 eV/cell. As for the symmetry: F-43m, No. 216. The value obtained for the density of states at the Fermi level is 0.76 states/eV/atom.

Unit cell a=5.123 b=5.123 c=5.123 alpha=60.00 beta=60.00 gamma=60.00
Fractional positions:
1 Hg 0.500 0.500 0.500
2 Ni 0.000 0.000 0.000
3 Pm 0.250 0.250 0.250
4 Y 0.750 0.750 0.750

---

# Pr3Ni8Hg

Pr3Ni8Hg after structural relaxation (GGA-PBE, Alexandria via LeMat-Bulk).

Properties
As for the volume: 192.3 Å³/f.u. The energy comes out at -64.1 eV/cell. As for the symmetry: R3m, No. 160. The value obtained for the density of states at the Fermi level is 0.69 states/eV/atom.

Unit cell a=5.126 b=5.126 c=8.953 alpha=73.36 beta=73.36 gamma=60.00
Fractional positions:
1 Ni 0.188 0.188 0.436
2 Ni 0.941 0.436 0.188
3 Ni 0.688 0.688 0.937
4 Ni 0.436 0.436 0.188
5 Ni 0.937 0.439 0.686
6 Ni 0.937 0.937 0.686
7 Ni 0.439 0.937 0.686
8 Ni 0.436 0.941 0.188
9 Pr 0.377 0.377 0.868
10 Pr 0.505 0.505 0.484
11 Pr 0.993 0.993 0.020
12 Hg 0.872 0.872 0.384

---

# Pr2Ni2Hg

Pr2Ni2Hg after structural relaxation (GGA-PBE, Alexandria via LeMat-Bulk).

Properties
As for the volume: 112.6 Å³/f.u. The energy comes out at -23.5 eV/cell. As for the symmetry: Cmmm, No. 65. The value obtained for the density of states at the Fermi level is 0.89 states/eV/atom.

Unit cell a=3.923 b=4.017 c=7.422 alpha=105.70 beta=90.00 gamma=90.00
Fractional positions:
1 Pr 0.500 0.365 0.731
2 Pr 0.500 0.635 0.269
3 Ni 0.000 0.797 0.594
4 Ni 0.000 0.203 0.406
5 Hg 0.000 0.000 0.000

---

# Pr12Ni5Hg

Pr12Ni5Hg after structural relaxation (GGA-PBE, Alexandria via LeMat-Bulk).

Properties
As for the volume: 501.2 Å³/f.u. The energy comes out at -90.6 eV/cell. As for the symmetry: Immm, No. 71. The value obtained for the density of states at the Fermi level is 0.88 states/eV/atom.

Unit cell a=8.673 b=8.673 c=8.673 alpha=107.15 beta=112.26 gamma=109.05
Fractional positions:
1 Pr 0.811 0.602 0.791
2 Pr 0.189 0.980 0.791
3 Pr 0.119 0.821 0.298
4 Pr 0.305 0.676 0.981
5 Pr 0.695 0.324 0.019
6 Pr 0.189 0.398 0.209
7 Pr 0.811 0.020 0.209
8 Pr 0.305 0.324 0.630
9 Pr 0.477 0.179 0.298
10 Pr 0.695 0.676 0.370
11 Pr 0.881 0.179 0.702
12 Pr 0.523 0.821 0.702
13 Ni 0.500 0.876 0.376
14 Ni 0.368 0.368 0.000
15 Ni 0.500 0.124 0.624
16 Ni 0.632 0.632 0.000
17 Ni 0.000 0.000 0.000
18 Hg 0.000 0.500 0.500

---

# Pr6NiHg2

Pr6NiHg2 after structural relaxation (GGA-PBE, Alexandria via LeMat-Bulk).

Properties
As for the volume: 266.1 Å³/f.u. The energy comes out at -37.6 eV/cell. As for the symmetry: P-62m, No. 189. The energy above the most stable polymorph in this dataset comes out at 0.000 eV per formula unit. The value obtained for the density of states at the Fermi level is 0.92 states/eV/atom.

Unit cell a=3.813 b=8.976 c=8.976 alpha=120.00 beta=90.00 gamma=90.00
Fractional positions:
1 Pr 0.500 0.593 0.000
2 Pr 0.000 0.763 0.763
3 Pr 0.000 0.000 0.237
4 Pr 0.500 0.407 0.407
5 Pr 0.500 0.000 0.593
6 Pr 0.000 0.237 0.000
7 Ni 0.500 0.000 0.000
8 Hg 0.000 0.333 0.667
9 Hg 0.000 0.667 0.333

---

# Pr5Ni2Hg

Pr5Ni2Hg after structural relaxation (GGA-PBE, Alexandria via LeMat-Bulk).

Properties
As for the volume: 218.5 Å³/f.u. The energy comes out at -75.7 eV/cell. As for the symmetry: I4/mcm, No. 140. The value obtained for the density of states at the Fermi level is 1.15 states/eV/atom.

Unit cell a=8.050 b=8.050 c=8.825 alpha=117.14 beta=117.14 gamma=90.00
Fractional positions:
1 Pr 0.477 0.298 0.274
2 Pr 0.298 0.798 0.274
3 Pr 0.977 0.477 0.274
4 Pr 0.500 0.500 0.000
5 Pr 0.702 0.202 0.726
6 Pr 0.023 0.523 0.726
7 Pr 0.000 0.000 0.000
8 Pr 0.523 0.702 0.726
9 Pr 0.798 0.977 0.274
10 Pr 0.202 0.023 0.726
11 Ni 0.381 0.881 0.000
12 Ni 0.119 0.381 0.000
13 Ni 0.881 0.619 0.000
14 Ni 0.619 0.119 0.000
15 Hg 0.750 0.750 0.500
16 Hg 0.250 0.250 0.500

---

# Pr6NiHg

Pr6NiHg after structural relaxation (GGA-PBE, Alexandria via LeMat-Bulk).

Properties
As for the volume: 269.0 Å³/f.u. The energy comes out at -34.9 eV/cell. As for the symmetry: C2/m, No. 12. The value obtained for the density of states at the Fermi level is 1.52 states/eV/atom.

Unit cell a=6.729 b=7.454 c=6.839 alpha=56.98 beta=78.87 gamma=69.25
Fractional positions:
1 Pr 0.743 0.109 0.383
2 Pr 0.712 0.742 0.000
3 Pr 0.743 0.493 0.617
4 Pr 0.257 0.507 0.383
5 Pr 0.288 0.258 0.000
6 Pr 0.257 0.891 0.617
7 Ni 0.500 0.500 0.000
8 Hg 0.000 0.000 0.000

---

# PrNiHg2

PrNiHg2 after structural relaxation (GGA-PBE, Alexandria via LeMat-Bulk).

Properties
As for the volume: 93.4 Å³/f.u. The energy comes out at -11.8 eV/cell. As for the symmetry: R-3m, No. 166. The value obtained for the density of states at the Fermi level is 0.99 states/eV/atom.

Unit cell a=4.535 b=4.535 c=5.860 alpha=67.24 beta=67.24 gamma=60.00
Fractional positions:
1 Hg 0.781 0.781 0.657
2 Hg 0.219 0.219 0.343
3 Ni 0.500 0.500 0.500
4 Pr 0.000 0.000 0.000

---

# Pr4NiHg

Pr4NiHg after structural relaxation (GGA-PBE, Alexandria via LeMat-Bulk).

Properties
As for the volume: 172.5 Å³/f.u. The energy comes out at -107.4 eV/cell. As for the symmetry: F-43m, No. 216. The energy above the most stable polymorph in this dataset comes out at 0.000 eV per formula unit. The value obtained for the density of states at the Fermi level is 0.77 states/eV/atom.

Unit cell a=9.919 b=9.919 c=9.919 alpha=60.00 beta=60.00 gamma=60.00
Fractional positions:
1 Ni 0.179 0.607 0.607
2 Ni 0.607 0.607 0.607
3 Ni 0.607 0.607 0.179
4 Ni 0.607 0.179 0.607
5 Hg 0.167 0.167 0.167
6 Hg 0.167 0.500 0.167
7 Hg 0.500 0.167 0.167
8 Hg 0.167 0.167 0.500
9 Pr 0.942 0.558 0.942
10 Pr 0.188 0.812 0.812
11 Pr 0.558 0.942 0.942
12 Pr 0.188 0.812 0.188
13 Pr 0.812 0.188 0.812
14 Pr 0.558 0.942 0.558
15 Pr 0.942 0.558 0.558
16 Pr 0.401 0.401 0.798
17 Pr 0.558 0.558 0.942
18 Pr 0.401 0.798 0.401
19 Pr 0.942 0.942 0.558
20 Pr 0.188 0.188 0.812
21 Pr 0.812 0.812 0.188
22 Pr 0.798 0.401 0.401
23 Pr 0.812 0.188 0.188
24 Pr 0.401 0.401 0.401

---

# PrNi5Hg

PrNi5Hg after structural relaxation (GGA-PBE, Alexandria via LeMat-Bulk).

Properties
As for the volume: 105.7 Å³/f.u. The energy comes out at -141.0 eV/cell. As for the symmetry: Pnma, No. 62. The value obtained for the density of states at the Fermi level is 1.29 states/eV/atom.

Unit cell a=4.918 b=8.252 c=10.419 alpha=90.00 beta=90.00 gamma=90.00
Fractional positions:
1 Ni 0.750 0.923 0.516
2 Ni 0.750 0.423 0.984
3 Ni 0.001 0.432 0.186
4 Ni 0.250 0.452 0.386
5 Ni 0.499 0.932 0.314
6 Ni 0.499 0.432 0.186
7 Ni 0.750 0.313 0.761
8 Ni 0.750 0.813 0.739
9 Ni 0.250 0.187 0.261
10 Ni 0.999 0.568 0.814
11 Ni 0.750 0.048 0.886
12 Ni 0.250 0.952 0.114
13 Ni 0.001 0.932 0.314
14 Ni 0.250 0.687 0.239
15 Ni 0.501 0.068 0.686
16 Ni 0.250 0.077 0.484
17 Ni 0.999 0.068 0.686
18 Ni 0.250 0.577 0.016
19 Ni 0.501 0.568 0.814
20 Ni 0.750 0.548 0.614
21 Hg 0.750 0.639 0.365
22 Hg 0.750 0.139 0.135
23 Hg 0.250 0.361 0.635
24 Hg 0.250 0.861 0.865
25 Pr 0.250 0.245 0.939
26 Pr 0.750 0.255 0.439
27 Pr 0.750 0.755 0.061
28 Pr 0.250 0.745 0.561

---

# Pr12Ni6Hg

Pr12Ni6Hg after structural relaxation (GGA-PBE, Alexandria via LeMat-Bulk).

Properties
As for the volume: 517.0 Å³/f.u. The energy comes out at -97.1 eV/cell. As for the symmetry: Im-3, No. 204. The value obtained for the density of states at the Fermi level is 0.88 states/eV/atom.

Unit cell a=8.757 b=8.757 c=8.757 alpha=109.47 beta=109.47 gamma=109.47
Fractional positions:
1 Pr 0.306 0.120 0.815
2 Pr 0.491 0.185 0.306
3 Pr 0.509 0.815 0.694
4 Pr 0.694 0.509 0.815
5 Pr 0.815 0.306 0.120
6 Pr 0.185 0.306 0.491
7 Pr 0.815 0.694 0.509
8 Pr 0.120 0.815 0.306
9 Pr 0.306 0.491 0.185
10 Pr 0.880 0.185 0.694
11 Pr 0.185 0.694 0.880
12 Pr 0.694 0.880 0.185
13 Ni 0.879 0.379 0.500
14 Ni 0.621 0.500 0.121
15 Ni 0.379 0.500 0.879
16 Ni 0.500 0.879 0.379
17 Ni 0.500 0.121 0.621
18 Ni 0.121 0.621 0.500
19 Hg 0.000 0.000 0.000

---

# Pr6NiHg2

Pr6NiHg2 after structural relaxation (GGA-PBE, Alexandria via LeMat-Bulk).

Properties
As for the volume: 282.9 Å³/f.u. The energy comes out at -73.8 eV/cell. As for the symmetry: P2_1/c, No. 14. The energy above the most stable polymorph in this dataset comes out at 0.764 eV per formula unit. The value obtained for the density of states at the Fermi level is 1.25 states/eV/atom.

Unit cell a=6.615 b=7.934 c=10.804 alpha=90.00 beta=93.74 gamma=90.00
Fractional positions:
1 Pr 0.831 0.703 0.957
2 Pr 0.669 0.203 0.543
3 Pr 0.120 0.021 0.749
4 Pr 0.839 0.667 0.546
5 Pr 0.161 0.333 0.454
6 Pr 0.661 0.167 0.954
7 Pr 0.380 0.521 0.751
8 Pr 0.880 0.979 0.251
9 Pr 0.339 0.833 0.046
10 Pr 0.620 0.479 0.249
11 Pr 0.331 0.797 0.457
12 Pr 0.169 0.297 0.043
13 Ni 0.000 0.000 0.500
14 Ni 0.500 0.500 0.000
15 Hg 0.418 0.104 0.267
16 Hg 0.082 0.604 0.233
17 Hg 0.582 0.896 0.733
18 Hg 0.918 0.396 0.767

---

# Pr2NiHg3

Pr2NiHg3 after structural relaxation (GGA-PBE, Alexandria via LeMat-Bulk).

Properties
As for the volume: 149.9 Å³/f.u. The energy comes out at -18.5 eV/cell. As for the symmetry: Pmm2, No. 25. The value obtained for the density of states at the Fermi level is 0.63 states/eV/atom.

Unit cell a=3.681 b=4.816 c=8.455 alpha=90.00 beta=90.00 gamma=90.00
Fractional positions:
1 Pr 0.000 0.500 0.041
2 Pr 0.000 0.000 0.482
3 Ni 0.500 0.500 0.322
4 Hg 0.500 0.000 0.834
5 Hg 0.500 0.000 0.180
6 Hg 0.500 0.500 0.642

---

# PrNiHg2

PrNiHg2 after structural relaxation (GGA-PBE, Alexandria via LeMat-Bulk).

Properties
As for the volume: 89.3 Å³/f.u. The energy comes out at -24.6 eV/cell. As for the symmetry: C2/c, No. 15. The value obtained for the density of states at the Fermi level is 0.64 states/eV/atom.

Unit cell a=5.528 b=5.524 c=7.190 alpha=67.41 beta=79.53 gamma=61.78
Fractional positions:
1 Hg 0.597 0.418 0.821
2 Hg 0.903 0.761 0.821
3 Hg 0.403 0.582 0.179
4 Hg 0.097 0.239 0.179
5 Pr 0.750 0.851 0.297
6 Pr 0.250 0.149 0.703
7 Ni 0.750 0.250 0.501
8 Ni 0.250 0.750 0.499